The following is a DFT calculation (PBE) of crystalline Y3Ag at its relaxed geometry.

```
Y3Ag
1.0
6.9632 0.0000 0.0000
0.0000 9.8263 0.0000
0.0000 0.0000 6.7756
Ag Y
4 12
direct
0.0742 0.7500 0.5331
0.4258 0.2500 0.0331
0.5742 0.7500 0.9669
0.9258 0.2500 0.4669
0.0069 0.2500 0.8900
0.2026 0.0512 0.3003
0.2026 0.4488 0.3003
0.2974 0.5512 0.8003
0.2974 0.9488 0.8003
0.4931 0.7500 0.3900
0.5069 0.2500 0.6100
0.7026 0.0512 0.1997
0.7026 0.4488 0.1997
0.7974 0.5512 0.6997
0.7974 0.9488 0.6997
0.9931 0.7500 0.1100
```

mass density	5.367	g/cm³
distance to the lowest polymorph of the same formula	0.0022	eV per atom
calculated formation energy	-0.133	eV/atom
total DFT energy (no corrections)	-91.11	eV/cell
volume	29.0	Å³/atom

=====

The following is a DFT calculation (PBE) of crystalline Pm8Tm3Th2 at its relaxed geometry.

```
Pm8Tm3Th2
1.0
-4.7939 0.5386 3.9301
-3.0932 -7.4699 -2.7495
3.8132 0.0316 8.8861
Pm Tm Th
8 3 2
direct
0.7516 0.4735 0.9471
0.2484 0.5265 0.0529
0.1173 0.8069 0.6138
0.8827 0.1931 0.3862
0.4069 0.9307 0.3144
0.4069 0.3837 0.3144
0.5931 0.6163 0.6856
0.5931 0.0693 0.6856
0.5000 0.0000 0.0000
0.0000 0.1851 0.0000
0.0000 0.8149 0.0000
0.7774 0.6711 0.3422
0.2226 0.3289 0.6578
```

mass density	8.069	g/cm³
calculated formation energy	0.215	eV/atom
total DFT energy (no corrections)	-63.47	eV/cell
volume	33.7	Å³/atom

=====

The following is a DFT calculation (PBE) of crystalline Sm8Co2Ru at its relaxed geometry.

```
Sm8Co2Ru
1.0
5.9246 0.0619 -0.9938
-1.9570 6.6992 -2.9912
-0.1095 -0.2787 7.5873
Sm Co Ru
8 2 1
direct
0.5933 0.3434 0.0853
0.5933 0.0853 0.3434
0.1822 0.3635 0.3635
0.0002 0.2151 0.7913
0.0002 0.7913 0.2151
0.8179 0.6425 0.6425
0.4074 0.9208 0.6630
0.4074 0.6630 0.9208
0.5001 0.7033 0.3028
0.5001 0.3028 0.7033
0.9976 0.0029 0.0029
```

mass density	7.980	g/cm³
distance to the lowest polymorph of the same formula	0.0392	eV per atom
calculated formation energy	-0.035	eV/atom
total DFT energy (no corrections)	-61.62	eV/cell
volume	26.9	Å³/atom

=====

The following is a DFT calculation (PBE) of crystalline Pr2HoHg8 at its relaxed geometry.

```
Pr2HoHg8
1.0
-2.6423 3.8998 1.9814
-6.1084 -2.6006 -3.0275
2.2929 -5.0295 6.3666
Pr Ho Hg
2 1 8
direct
0.7905 0.3427 0.5810
0.2095 0.6573 0.4190
0.5000 0.0000 0.0000
0.4067 0.5554 0.8133
0.6645 0.8896 0.3289
0.8482 0.8400 0.6964
0.9827 0.2704 0.9654
0.1518 0.1600 0.3036
0.3355 0.1104 0.6711
0.5933 0.4446 0.1867
0.0173 0.7296 0.0346
```

mass density	12.112	g/cm³
calculated formation energy	-0.345	eV/atom
total DFT energy (no corrections)	-20.34	eV/cell
volume	25.6	Å³/atom

=====

Q: Which value of calculated formation energy does entry 2 give?
A: 0.215 eV/atom

=====

Q: Look up the mass density of the first one.
A: 5.367 g/cm³

=====

What did the first record say?
The following is a DFT calculation (PBE) of crystalline Y3Ag at its relaxed geometry.

```
Y3Ag
1.0
6.9632 0.0000 0.0000
0.0000 9.8263 0.0000
0.0000 0.0000 6.7756
Ag Y
4 12
direct
0.0742 0.7500 0.5331
0.4258 0.2500 0.0331
0.5742 0.7500 0.9669
0.9258 0.2500 0.4669
0.0069 0.2500 0.8900
0.2026 0.0512 0.3003
0.2026 0.4488 0.3003
0.2974 0.5512 0.8003
0.2974 0.9488 0.8003
0.4931 0.7500 0.3900
0.5069 0.2500 0.6100
0.7026 0.0512 0.1997
0.7026 0.4488 0.1997
0.7974 0.5512 0.6997
0.7974 0.9488 0.6997
0.9931 0.7500 0.1100
```

mass density	5.367	g/cm³
distance to the lowest polymorph of the same formula	0.0022	eV per atom
calculated formation energy	-0.133	eV/atom
total DFT energy (no corrections)	-91.11	eV/cell
volume	29.0	Å³/atom

=====

Q: Look up the calculated formation energy of the third one.
A: -0.035 eV/atom